Arrangement 1

{
  "formula": "SrCdMo2",
  "functional": "PBEsol",
  "state": "optimized geometry",
  "lattice": [[4.251, -1.528, 0.000], [4.251, 1.528, 0.000], [-0.844, 0.000, 6.944]],
  "species": ["Sr", "Cd", "Mo", "Mo"],
  "frac_coords": [[0.000, 0.000, 0.000], [0.238, 0.238, 0.671], [0.494, 0.494, 0.440], [0.769, 0.769, 0.316]],
  "n_ef_per_ev_atom": 1.018,
  "m_tot_mub_per_atom": 0.000
}

Arrangement 2

{
  "formula": "SrCdMo2",
  "functional": "PBEsol",
  "state": "optimized geometry",
  "lattice": [[3.280, 0.000, 0.000], [0.000, 3.275, 0.000], [-0.309, 0.000, 7.969]],
  "species": ["Sr", "Cd", "Mo", "Mo"],
  "frac_coords": [[0.000, 0.000, 0.000], [0.523, 0.500, 0.317], [0.053, 0.000, 0.550], [0.501, 0.500, 0.698]],
  "n_ef_per_ev_atom": 0.900,
  "m_tot_mub_per_atom": 0.000
}

What is the stability order? It is arrangement 2, arrangement 1, from most stable to least stable.

Arrangement 1

{
  "formula": "Sr2CdMo",
  "functional": "PBEsol",
  "state": "optimized geometry",
  "lattice": [[5.498, 0.000, 0.000], [0.000, 5.498, 0.000], [0.000, 0.000, 3.820]],
  "species": ["Sr", "Sr", "Cd", "Mo"],
  "frac_coords": [[0.000, 0.500, 0.000], [0.500, 0.000, 0.000], [0.000, 0.000, 0.500], [0.500, 0.500, 0.500]],
  "n_ef_per_ev_atom": 0.894,
  "m_tot_mub_per_atom": 0.828
}

Arrangement 2

{
  "formula": "Sr2CdMo",
  "functional": "PBEsol",
  "state": "optimized geometry",
  "lattice": [[-2.429, 2.429, 4.611], [2.429, -2.429, 4.611], [2.429, 2.429, -4.611]],
  "species": ["Sr", "Sr", "Cd", "Mo"],
  "frac_coords": [[0.000, 0.000, 0.000], [0.750, 0.250, 0.500], [0.500, 0.500, 0.000], [0.250, 0.750, 0.500]],
  "n_ef_per_ev_atom": 1.152,
  "m_tot_mub_per_atom": 0.634
}

What is the stability order? It is arrangement 1, arrangement 2, from most stable to least stable.

Arrangement 1

{
  "formula": "Tl2CdMo",
  "functional": "PBEsol",
  "state": "optimized geometry",
  "lattice": [[1.786, -2.461, 0.000], [1.786, 2.461, 0.000], [0.000, 0.000, 9.673]],
  "species": ["Tl", "Tl", "Cd", "Mo"],
  "frac_coords": [[0.000, 0.000, 0.232], [0.000, 0.000, 0.768], [0.500, 0.500, 0.500], [0.500, 0.500, 0.000]],
  "n_ef_per_ev_atom": 0.767,
  "m_tot_mub_per_atom": 0.000
}

Arrangement 2

{
  "formula": "Tl2CdMo",
  "functional": "PBEsol",
  "state": "optimized geometry",
  "lattice": [[-2.042, 2.042, 4.827], [2.042, -2.042, 4.827], [2.042, 2.042, -4.827]],
  "species": ["Tl", "Tl", "Cd", "Mo"],
  "frac_coords": [[0.000, 0.000, 0.000], [0.750, 0.250, 0.500], [0.500, 0.500, 0.000], [0.250, 0.750, 0.500]],
  "n_ef_per_ev_atom": 0.391,
  "m_tot_mub_per_atom": 0.000
}

What is the stability order? It is arrangement 2, arrangement 1, from most stable to least stable.

Arrangement 1

{
  "formula": "TlCdMo2",
  "functional": "PBEsol",
  "state": "optimized geometry",
  "lattice": [[-1.704, 2.230, 4.661], [1.704, -2.230, 4.661], [1.704, 2.230, -4.661]],
  "species": ["Tl", "Cd", "Mo", "Mo"],
  "frac_coords": [[0.000, 0.000, 0.000], [0.500, 0.500, 0.000], [0.249, 0.749, 0.500], [0.751, 0.251, 0.500]],
  "n_ef_per_ev_atom": 0.704,
  "m_tot_mub_per_atom": 0.000
}

Arrangement 2

{
  "formula": "TlCdMo2",
  "functional": "PBEsol",
  "state": "optimized geometry",
  "lattice": [[0.000, 3.289, 3.289], [3.289, 0.000, 3.289], [3.289, 3.289, 0.000]],
  "species": ["Tl", "Cd", "Mo", "Mo"],
  "frac_coords": [[0.000, 0.000, 0.000], [0.250, 0.250, 0.250], [0.500, 0.500, 0.500], [0.750, 0.750, 0.750]],
  "n_ef_per_ev_atom": 0.734,
  "m_tot_mub_per_atom": 0.000
}

What is the stability order? It is arrangement 1, arrangement 2, from most stable to least stable.

Arrangement 1

{
  "formula": "ZnCdMo2",
  "functional": "PBEsol",
  "state": "optimized geometry",
  "lattice": [[1.749, -2.029, 0.000], [1.749, 2.029, 0.000], [0.000, 0.000, 8.818]],
  "species": ["Zn", "Cd", "Mo", "Mo"],
  "frac_coords": [[0.000, 0.000, 0.000], [0.000, 0.000, 0.500], [0.500, 0.500, 0.234], [0.500, 0.500, 0.766]],
  "n_ef_per_ev_atom": 0.636,
  "m_tot_mub_per_atom": 0.000
}

Arrangement 2

{
  "formula": "ZnCdMo2",
  "functional": "PBEsol",
  "state": "optimized geometry",
  "lattice": [[3.479, 0.000, 0.000], [0.000, 4.026, 0.000], [0.000, 0.000, 4.472]],
  "species": ["Zn", "Cd", "Mo", "Mo"],
  "frac_coords": [[0.000, 0.000, 0.000], [0.500, 0.500, 0.000], [0.000, 0.500, 0.500], [0.500, 0.000, 0.500]],
  "n_ef_per_ev_atom": 0.535,
  "m_tot_mub_per_atom": 0.000
}

What is the stability order? It is arrangement 1, arrangement 2, from most stable to least stable.

Arrangement 1

{
  "formula": "CdSi3N",
  "functional": "PBEsol",
  "state": "optimized geometry",
  "lattice": [[4.899, 0.000, 0.000], [0.000, 4.899, 0.000], [0.000, 0.000, 4.899]],
  "species": ["Cd", "Si", "Si", "Si", "N"],
  "frac_coords": [[0.000, 0.000, 0.000], [0.000, 0.000, 0.500], [0.000, 0.500, 0.000], [0.500, 0.000, 0.000], [0.500, 0.500, 0.500]],
  "n_ef_per_ev_atom": 0.562,
  "m_tot_mub_per_atom": 0.128
}

Arrangement 2

{
  "formula": "CdSi3N",
  "functional": "PBEsol",
  "state": "optimized geometry",
  "lattice": [[4.144, 0.000, 0.000], [0.000, 4.144, 0.000], [0.000, 0.000, 4.144]],
  "species": ["Cd", "Si", "Si", "Si", "N"],
  "frac_coords": [[0.000, 0.000, 0.000], [0.000, 0.500, 0.500], [0.500, 0.000, 0.500], [0.500, 0.500, 0.000], [0.500, 0.500, 0.500]],
  "n_ef_per_ev_atom": 0.555,
  "m_tot_mub_per_atom": 0.000
}

What is the stability order? It is arrangement 2, arrangement 1, from most stable to least stable.

Arrangement 1

{
  "formula": "CdSnN2",
  "functional": "PBEsol",
  "state": "optimized geometry",
  "lattice": [[-2.529, 2.529, 4.850], [2.529, -2.529, 4.850], [2.529, 2.529, -4.850]],
  "species": ["Cd", "Cd", "Sn", "Sn", "N", "N", "N", "N"],
  "frac_coords": [[0.000, 0.000, 0.000], [0.750, 0.250, 0.500], [0.250, 0.750, 0.500], [0.500, 0.500, 0.000], [0.157, 0.625, 0.032], [0.375, 0.407, 0.532], [0.593, 0.125, 0.968], [0.875, 0.843, 0.468]],
  "n_ef_per_ev_atom": 0.075,
  "m_tot_mub_per_atom": 0.000
}

Arrangement 2

{
  "formula": "CdSnN2",
  "functional": "PBEsol",
  "state": "optimized geometry",
  "lattice": [[6.058, 0.000, 0.000], [0.000, 7.145, 0.000], [0.000, 0.000, 5.733]],
  "species": ["Cd", "Cd", "Cd", "Cd", "Sn", "Sn", "Sn", "Sn", "N", "N", "N", "N", "N", "N", "N", "N"],
  "frac_coords": [[0.083, 0.124, 0.000], [0.417, 0.624, 0.500], [0.583, 0.376, 0.000], [0.917, 0.876, 0.500], [0.077, 0.626, 0.002], [0.423, 0.126, 0.502], [0.577, 0.874, 0.002], [0.923, 0.374, 0.502], [0.066, 0.610, 0.362], [0.097, 0.140, 0.395], [0.403, 0.640, 0.895], [0.434, 0.110, 0.862], [0.566, 0.890, 0.362], [0.597, 0.360, 0.395], [0.903, 0.860, 0.895], [0.934, 0.390, 0.862]],
  "n_ef_per_ev_atom": 0.093,
  "m_tot_mub_per_atom": 0.000
}

Arrangement 3

{
  "formula": "CdSnN2",
  "functional": "PBEsol",
  "state": "optimized geometry",
  "lattice": [[0.000, 2.936, 2.936], [2.936, 0.000, 2.936], [2.936, 2.936, 0.000]],
  "species": ["Cd", "Sn", "N", "N"],
  "frac_coords": [[0.000, 0.000, 0.000], [0.500, 0.500, 0.500], [0.250, 0.250, 0.250], [0.750, 0.750, 0.750]],
  "n_ef_per_ev_atom": 0.665,
  "m_tot_mub_per_atom": 0.120
}

What is the stability order? It is arrangement 2, arrangement 1, arrangement 3, from most stable to least stable.

Arrangement 1

{
  "formula": "NaCdP2O",
  "functional": "PBEsol",
  "state": "optimized geometry",
  "lattice": [[5.028, 0.000, 0.000], [0.000, 5.028, 0.000], [0.000, 0.000, 4.192]],
  "species": ["Na", "Cd", "P", "P", "O"],
  "frac_coords": [[0.000, 0.000, 0.000], [0.500, 0.500, 0.500], [0.000, 0.500, 0.500], [0.500, 0.000, 0.500], [0.500, 0.500, 0.000]],
  "n_ef_per_ev_atom": 0.820,
  "m_tot_mub_per_atom": 0.370
}

Arrangement 2

{
  "formula": "NaCdP2O",
  "functional": "PBEsol",
  "state": "optimized geometry",
  "lattice": [[4.884, 0.000, 0.000], [0.000, 4.884, 0.000], [0.000, 0.000, 3.966]],
  "species": ["Na", "Cd", "P", "P", "O"],
  "frac_coords": [[0.000, 0.000, 0.000], [0.500, 0.500, 0.500], [0.000, 0.500, 0.000], [0.500, 0.000, 0.000], [0.000, 0.000, 0.500]],
  "n_ef_per_ev_atom": 0.693,
  "m_tot_mub_per_atom": 0.321
}

What is the stability order? It is arrangement 1, arrangement 2, from most stable to least stable.

Arrangement 1

{
  "formula": "NaCd3Pd",
  "functional": "PBEsol",
  "state": "optimized geometry",
  "lattice": [[5.128, 0.000, 0.000], [0.000, 5.128, 0.000], [0.000, 0.000, 5.128]],
  "species": ["Na", "Cd", "Cd", "Cd", "Pd"],
  "frac_coords": [[0.000, 0.000, 0.000], [0.000, 0.500, 0.500], [0.500, 0.000, 0.500], [0.500, 0.500, 0.000], [0.500, 0.500, 0.500]],
  "n_ef_per_ev_atom": 0.402,
  "m_tot_mub_per_atom": 0.000
}

Arrangement 2

{
  "formula": "NaCd3Pd",
  "functional": "PBEsol",
  "state": "optimized geometry",
  "lattice": [[5.000, 0.000, 0.000], [0.000, 5.000, 0.000], [0.000, 0.000, 5.000]],
  "species": ["Na", "Cd", "Cd", "Cd", "Pd"],
  "frac_coords": [[0.000, 0.000, 0.000], [0.000, 0.000, 0.500], [0.000, 0.500, 0.000], [0.500, 0.000, 0.000], [0.500, 0.500, 0.500]],
  "n_ef_per_ev_atom": 0.527,
  "m_tot_mub_per_atom": 0.000
}

What is the stability order? It is arrangement 1, arrangement 2, from most stable to least stable.

Arrangement 1

{
  "formula": "Cd5Ni",
  "functional": "PBEsol",
  "state": "optimized geometry",
  "lattice": [[2.100, -6.207, 0.000], [2.100, 6.207, 0.000], [0.000, 0.000, 4.192]],
  "species": ["Cd", "Cd", "Cd", "Cd", "Cd", "Ni"],
  "frac_coords": [[0.000, 0.000, 0.000], [0.159, 0.841, 0.500], [0.342, 0.658, 0.000], [0.658, 0.342, 0.000], [0.841, 0.159, 0.500], [0.500, 0.500, 0.500]],
  "n_ef_per_ev_atom": 0.329,
  "m_tot_mub_per_atom": 0.000
}

Arrangement 2

{
  "formula": "Cd5Ni",
  "functional": "PBEsol",
  "state": "optimized geometry",
  "lattice": [[3.093, 0.000, 0.000], [0.000, 3.093, 0.000], [0.000, 0.000, 11.631]],
  "species": ["Cd", "Cd", "Cd", "Cd", "Cd", "Ni"],
  "frac_coords": [[0.000, 0.000, 0.000], [0.000, 0.000, 0.368], [0.000, 0.000, 0.632], [0.500, 0.500, 0.184], [0.500, 0.500, 0.816], [0.500, 0.500, 0.500]],
  "n_ef_per_ev_atom": 0.319,
  "m_tot_mub_per_atom": 0.000
}

Arrangement 3

{
  "formula": "Cd5Ni",
  "functional": "PBEsol",
  "state": "optimized geometry",
  "lattice": [[5.206, 0.000, 0.000], [-2.603, 4.509, 0.000], [0.000, 0.000, 4.660]],
  "species": ["Cd", "Cd", "Cd", "Cd", "Cd", "Ni"],
  "frac_coords": [[0.000, 0.684, 0.000], [0.316, 0.316, 0.000], [0.333, 0.667, 0.500], [0.667, 0.333, 0.500], [0.684, 0.000, 0.000], [0.000, 0.000, 0.500]],
  "n_ef_per_ev_atom": 0.371,
  "m_tot_mub_per_atom": 0.000
}

What is the stability order? It is arrangement 2, arrangement 3, arrangement 1, from most stable to least stable.

Arrangement 1

{
  "formula": "Cd2NiPb",
  "functional": "PBEsol",
  "state": "optimized geometry",
  "lattice": [[-1.506, 2.181, 6.370], [1.506, -2.181, 6.370], [1.506, 2.181, -6.370]],
  "species": ["Cd", "Cd", "Ni", "Pb"],
  "frac_coords": [[0.000, 0.000, 0.000], [0.664, 0.164, 0.500], [0.174, 0.674, 0.500], [0.354, 0.354, 0.000]],
  "n_ef_per_ev_atom": 0.555,
  "m_tot_mub_per_atom": 0.000
}

Arrangement 2

{
  "formula": "Cd2NiPb",
  "functional": "PBEsol",
  "state": "optimized geometry",
  "lattice": [[0.000, 3.427, 3.427], [3.427, 0.000, 3.427], [3.427, 3.427, 0.000]],
  "species": ["Cd", "Cd", "Ni", "Pb"],
  "frac_coords": [[0.250, 0.250, 0.250], [0.750, 0.750, 0.750], [0.000, 0.000, 0.000], [0.500, 0.500, 0.500]],
  "n_ef_per_ev_atom": 0.468,
  "m_tot_mub_per_atom": 0.000
}

What is the stability order? It is arrangement 1, arrangement 2, from most stable to least stable.

Arrangement 1

{
  "formula": "Cd2ReNi",
  "functional": "PBEsol",
  "state": "optimized geometry",
  "lattice": [[2.725, 0.000, 0.000], [0.000, 2.725, 0.000], [0.000, 0.000, 8.360]],
  "species": ["Cd", "Cd", "Re", "Ni"],
  "frac_coords": [[0.000, 0.000, 0.228], [0.000, 0.000, 0.772], [0.500, 0.500, 0.500], [0.500, 0.500, 0.000]],
  "n_ef_per_ev_atom": 0.720,
  "m_tot_mub_per_atom": 0.000
}

Arrangement 2

{
  "formula": "Cd2ReNi",
  "functional": "PBEsol",
  "state": "optimized geometry",
  "lattice": [[2.801, 0.000, 0.000], [0.000, 2.801, 0.000], [0.000, 0.000, 8.040]],
  "species": ["Cd", "Cd", "Re", "Ni"],
  "frac_coords": [[0.000, 0.000, 0.000], [0.500, 0.500, 0.303], [0.500, 0.500, 0.729], [0.000, 0.000, 0.540]],
  "n_ef_per_ev_atom": 0.613,
  "m_tot_mub_per_atom": 0.000
}

What is the stability order? It is arrangement 2, arrangement 1, from most stable to least stable.

Arrangement 1

{
  "formula": "Tl2CdNi",
  "functional": "PBEsol",
  "state": "optimized geometry",
  "lattice": [[-1.492, 2.212, 6.657], [1.492, -2.212, 6.657], [1.492, 2.212, -6.657]],
  "species": ["Tl", "Tl", "Cd", "Ni"],
  "frac_coords": [[0.174, 0.174, 0.000], [0.826, 0.826, 0.000], [0.500, 0.000, 0.500], [0.000, 0.500, 0.500]],
  "n_ef_per_ev_atom": 0.534,
  "m_tot_mub_per_atom": 0.000
}

Arrangement 2

{
  "formula": "Tl2CdNi",
  "functional": "PBEsol",
  "state": "optimized geometry",
  "lattice": [[3.158, 0.000, 0.000], [0.000, 3.158, 0.000], [0.000, 0.000, 8.444]],
  "species": ["Tl", "Tl", "Cd", "Ni"],
  "frac_coords": [[0.000, 0.000, 0.000], [0.500, 0.500, 0.329], [0.500, 0.500, 0.704], [0.000, 0.000, 0.526]],
  "n_ef_per_ev_atom": 0.570,
  "m_tot_mub_per_atom": 0.000
}

What is the stability order? It is arrangement 1, arrangement 2, from most stable to least stable.